Entry from Alexandria via LeMat-Bulk: an optimized crystal structure of ScPaAgSe4 (GGA-PBE).

It has space group Imma (No. 74), with a = 8.020 Å, b = 8.410 Å, c = 11.390 Å, α = 90.00°, β = 90.00° and γ = 90.00°. The asymmetric unit holds Sc at (0.250, 0.250, 0.250), Pa at (0.000, 0.000, 0.000), Ag at (0.000, 0.250, 0.642), Se at (0.000, 0.028, 0.248) and Se at (0.241, 0.250, 0.009).

The density of states at the Fermi level is 6.24 states/eV/f.u. The formation energy from raw total energies comes out at -8.452 eV/f.u. As for the crystal system: orthorhombic.